Below is crystalline LiNd2Co at its relaxed geometry, with properties calculated at the GGA-PBE level.

ρ, g/cm3: 5.77
Space group: No. 12
Uncorrected energy, eV/atom: -4.664
Energy relative to the elements, eV/atom: -0.0251

Cell and atoms, written as POSCAR:
```
LiNd2Co
1.0
6.858 -1.866 0.000
6.858 1.866 0.000
-0.776 0.000 7.969
Li Nd Co
2 4 2
Direct
0.127 0.127 0.454
0.873 0.873 0.546
0.267 0.267 0.816
0.469 0.469 0.206
0.531 0.531 0.794
0.733 0.733 0.184
0.100 0.100 0.051
0.900 0.900 0.949
```